1.
First-principles (PBE) data for a geometry-optimized AlHg2Rh structure, as listed in Alexandria.

The space group is R-3m (No. 166, hexagonal axes) and the conventional cell measures 3.1170, 3.1170 and 26.7794 Å, with angles of 90.00, 90.00 and 120.00 degrees. The distinct sites, in fractional coordinates, are Al at (0.0000, 0.0000, 0.0000), Hg at (0.0000, 0.0000, 0.2478) and Rh at (0.0000, 0.0000, 0.5000).

The total moment is 0.00 μB/atom.

2.
First-principles (PBE) data for a geometry-optimized AlHg2Rh structure, as listed in Alexandria.

The space group is Pmmm (No. 47) and the conventional cell measures 4.092, 4.114 and 4.237 Å, with angles of 90.00, 90.00 and 90.00 degrees. The distinct sites, in fractional coordinates, are Al at (0.000, 0.000, 0.000), Hg at (0.000, 0.500, 0.500), Hg at (0.500, 0.000, 0.500) and Rh at (0.500, 0.500, 0.000).

The total moment is 0.00 μB/atom.

3.
First-principles (PBE) data for a geometry-optimized AlHg2Rh structure, as listed in Alexandria.

The space group is I-4m2 (No. 119) and the conventional cell measures 4.056, 4.056 and 8.662 Å, with angles of 90.00, 90.00 and 90.00 degrees. The distinct sites, in fractional coordinates, are Al at (0.000, 0.000, 0.000), Hg at (0.000, 0.000, 0.500), Hg at (0.000, 0.500, 0.750) and Rh at (0.000, 0.500, 0.250).

The total moment is 0.00 μB/atom.

4.
First-principles (PBE) data for a geometry-optimized AlHg3Rh structure, as listed in Alexandria.

The space group is Pm-3m (No. 221) and the conventional cell measures 5.230, 5.230 and 5.230 Å, with angles of 90.00, 90.00 and 90.00 degrees. The distinct sites, in fractional coordinates, are Al at (0.000, 0.000, 0.000), Hg at (0.000, 0.500, 0.500) and Rh at (0.500, 0.500, 0.500).

For the relative energy among the computed polymorphs, the calculation gives 0 meV per atom. The total moment is 0.00 μB/atom.

5.
First-principles (PBE) data for a geometry-optimized AlHg2Rh structure, as listed in Alexandria.

The space group is Cmmm (No. 65) and the conventional cell measures 5.554, 7.999 and 3.296 Å, with angles of 90.00, 90.00 and 90.00 degrees. The distinct sites, in fractional coordinates, are Al at (0.000, 0.000, 0.000), Hg at (0.250, 0.250, 0.500) and Rh at (0.000, 0.500, 0.000).

The total moment is 0.00 μB/atom.

6.
First-principles (PBE) data for a geometry-optimized AlHg2Rh structure, as listed in Alexandria.

The space group is P4/mmm (No. 123) and the conventional cell measures 3.636, 3.636 and 5.581 Å, with angles of 90.00, 90.00 and 90.00 degrees. The distinct sites, in fractional coordinates, are Al at (0.000, 0.000, 0.000), Hg at (0.500, 0.500, 0.252) and Rh at (0.000, 0.000, 0.500).

The total moment is 0.00 μB/atom.

7.
First-principles (PBE) data for a geometry-optimized AlHg4Rh structure, as listed in Alexandria.

The space group is F-43m (No. 216) and the conventional cell measures 8.073, 8.073 and 8.073 Å, with angles of 90.00, 90.00 and 90.00 degrees. The distinct sites, in fractional coordinates, are Al at (0.000, 0.000, 0.000), Hg at (0.124, 0.124, 0.624) and Rh at (0.250, 0.250, 0.250).

The total moment is 0.00 μB/atom.

8.
First-principles (PBE) data for a geometry-optimized AlHg2Rh structure, as listed in Alexandria.

The space group is P2/m (No. 10) and the conventional cell measures 4.820, 3.215 and 4.920 Å, with angles of 90.00, 107.87 and 90.00 degrees. The distinct sites, in fractional coordinates, are Al at (0.000, 0.000, 0.000), Hg at (0.000, 0.500, 0.500), Hg at (0.500, 0.000, 0.500) and Rh at (0.500, 0.500, 0.000).

The total moment is 0.00 μB/atom.

9.
First-principles (PBE) data for a geometry-optimized ScAlHgRh structure, as listed in Alexandria.

The space group is F-43m (No. 216) and the conventional cell measures 6.539, 6.539 and 6.539 Å, with angles of 90.00, 90.00 and 90.00 degrees. The distinct sites, in fractional coordinates, are Sc at (0.000, 0.000, 0.000), Al at (0.000, 0.000, 0.500), Hg at (0.250, 0.250, 0.750) and Rh at (0.250, 0.250, 0.250).

The total moment is 0.00 μB/atom.

10.
First-principles (PBE) data for a geometry-optimized AlHgRhSe2 structure, as listed in Alexandria.

The space group is P4/mmm (No. 123) and the conventional cell measures 4.848, 4.848 and 4.803 Å, with angles of 90.00, 90.00 and 90.00 degrees. The distinct sites, in fractional coordinates, are Al at (0.000, 0.000, 0.000), Hg at (0.500, 0.500, 0.500), Rh at (0.000, 0.000, 0.500) and Se at (0.000, 0.500, 0.000).

The total moment is 0.00 μB/atom.

11.
First-principles (PBE) data for a geometry-optimized AlTcHg2Rh structure, as listed in Alexandria.

The space group is P4/mmm (No. 123) and the conventional cell measures 4.924, 4.924 and 4.494 Å, with angles of 90.00, 90.00 and 90.00 degrees. The distinct sites, in fractional coordinates, are Al at (0.000, 0.000, 0.000), Tc at (0.500, 0.500, 0.500), Hg at (0.000, 0.500, 0.000) and Rh at (0.000, 0.000, 0.500).

The total moment is 0.65 μB/atom.

12.
First-principles (PBE) data for a geometry-optimized Al2TcHgRh structure, as listed in Alexandria.

The space group is P4/mmm (No. 123) and the conventional cell measures 4.703, 4.703 and 5.154 Å, with angles of 90.00, 90.00 and 90.00 degrees. The distinct sites, in fractional coordinates, are Al at (0.000, 0.500, 0.000), Tc at (0.000, 0.000, 0.500), Hg at (0.000, 0.000, 0.000) and Rh at (0.500, 0.500, 0.500).

The total moment is 0.66 μB/atom.

13.
First-principles (PBE) data for a geometry-optimized Y3Al3Hg2Rh structure, as listed in Alexandria.

The space group is P-62m (No. 189) and the conventional cell measures 7.4208, 7.4208 and 4.0902 Å, with angles of 90.00, 90.00 and 120.00 degrees. The distinct sites, in fractional coordinates, are Y at (0.0000, 0.6007, 0.0000), Al at (0.0000, 0.2258, 0.5000), Hg at (0.3333, 0.6667, 0.5000) and Rh at (0.0000, 0.0000, 0.0000).

The total moment is 0.00 μB/atom.

14.
First-principles (PBE) data for a geometry-optimized ZrAl2HgRh structure, as listed in Alexandria.

The space group is P4/mmm (No. 123) and the conventional cell measures 4.691, 4.691 and 5.063 Å, with angles of 90.00, 90.00 and 90.00 degrees. The distinct sites, in fractional coordinates, are Zr at (0.000, 0.000, 0.000), Al at (0.000, 0.500, 0.500), Hg at (0.500, 0.500, 0.000) and Rh at (0.000, 0.000, 0.500).

The total moment is 0.00 μB/atom.

15.
First-principles (PBE) data for a geometry-optimized AlHg2Ru structure, as listed in Alexandria.

The space group is P4/mmm (No. 123) and the conventional cell measures 2.974, 2.974 and 8.589 Å, with angles of 90.00, 90.00 and 90.00 degrees. The distinct sites, in fractional coordinates, are Al at (0.000, 0.000, 0.000), Hg at (0.500, 0.500, 0.264) and Ru at (0.000, 0.000, 0.500).

The total moment is 0.34 μB/atom.

16.
First-principles (PBE) data for a geometry-optimized AlHg2Ru structure, as listed in Alexandria.

The space group is Cmmm (No. 65) and the conventional cell measures 5.562, 7.826 and 3.341 Å, with angles of 90.00, 90.00 and 90.00 degrees. The distinct sites, in fractional coordinates, are Al at (0.000, 0.000, 0.000), Hg at (0.250, 0.250, 0.500) and Ru at (0.000, 0.500, 0.000).

The total moment is 0.00 μB/atom.

17.
First-principles (PBE) data for a geometry-optimized AlHgRu2 structure, as listed in Alexandria.

The space group is C2/m (No. 12) and the conventional cell measures 5.569, 8.957 and 2.862 Å, with angles of 90.00, 116.74 and 90.00 degrees. The distinct sites, in fractional coordinates, are Al at (0.000, 0.000, 0.000), Hg at (0.000, 0.500, 0.000) and Ru at (0.250, 0.250, 0.500).

For the relative energy among the computed polymorphs, the calculation gives 283 meV per atom. The total moment is 0.07 μB/atom.

18.
First-principles (PBE) data for a geometry-optimized Al2HgRu structure, as listed in Alexandria.

The space group is Pmm2 (No. 25) and the conventional cell measures 3.132, 4.520 and 4.627 Å, with angles of 90.00, 90.00 and 90.00 degrees. The distinct sites, in fractional coordinates, are Al at (0.000, 0.000, 0.000), Al at (0.500, 0.500, 0.181), Hg at (0.000, 0.500, 0.676) and Ru at (0.500, 0.000, 0.440).

The total moment is 0.00 μB/atom.

19.
First-principles (PBE) data for a geometry-optimized AlHgRu2 structure, as listed in Alexandria.

The space group is R-3m (No. 166, hexagonal axes) and the conventional cell measures 2.8866, 2.8866 and 26.1611 Å, with angles of 90.00, 90.00 and 120.00 degrees. The distinct sites, in fractional coordinates, are Al at (0.0000, 0.0000, 0.0000), Hg at (0.0000, 0.0000, 0.5000) and Ru at (0.0000, 0.0000, 0.2578).

For the relative energy among the computed polymorphs, the calculation gives 83 meV per atom. The total moment is 0.00 μB/atom.

20.
First-principles (PBE) data for a geometry-optimized AlHgRu2 structure, as listed in Alexandria.

The space group is P2/m (No. 10) and the conventional cell measures 2.903, 3.981 and 5.587 Å, with angles of 90.00, 100.28 and 90.00 degrees. The distinct sites, in fractional coordinates, are Al at (0.000, 0.000, 0.000), Hg at (0.000, 0.000, 0.500) and Ru at (0.371, 0.500, 0.214).

For the relative energy among the computed polymorphs, the calculation gives 100 meV per atom. The total moment is 0.00 μB/atom.

These records have energy values of -32.68, -11.45, -23.31, -9.94, -22.69, -11.35, -36.28, -11.49, -78.98, -16.34, -16.72, -17.97, -44.37, -24.35, -11.63, -24.56, -42.72, -17.39, -66.48, -22.09 eV per cell, in the order they appear.